(a)
DFT (GGA-PBE) results for crystalline Ho2ScZn2 at its relaxed geometry.

a b c (Å): 3.528 25.846 4.960
angles (deg): 90.00 90.00 90.00
Space group Cmcm (No. 63)
Unique sites:
Ho 0.000 0.045 0.250 [4 per cell]
Ho 0.000 0.232 0.250 [4 per cell]
Sc 0.000 0.145 0.750 [4 per cell]
Zn 0.000 0.361 0.750 [4 per cell]
Zn 0.000 0.445 0.250 [4 per cell]

Output
The density of states at the Fermi level comes out at 0.8787 states/eV/atom.



(b)
DFT (GGA-PBE) results for crystalline Ho2ScZn2 at its relaxed geometry.

a b c (Å): 3.767 6.574 9.571
angles (deg): 90.00 90.00 90.00
Space group Immm (No. 71)
Unique sites:
Ho 0.000 0.000 0.213 [4 per cell]
Sc 0.000 0.500 0.000 [2 per cell]
Zn 0.000 0.304 0.500 [4 per cell]

Output
The density of states at the Fermi level comes out at 1.2711 states/eV/atom.



(a) ends up most stable, edging out the next structure by 6.1 kJ/mol of atoms.



(a)
DFT (GGA-PBE) results for crystalline HoScZn at its relaxed geometry.

a b c (Å): 9.622 4.749 6.773
angles (deg): 90.00 90.00 90.00
Space group Pnma (No. 62)
Unique sites:
Ho 0.137 0.250 0.002 [4 per cell]
Sc 0.111 0.250 0.502 [4 per cell]
Zn 0.122 0.750 0.749 [4 per cell]

Output
The density of states at the Fermi level comes out at 1.0982 states/eV/atom.



(b)
DFT (GGA-PBE) results for crystalline HoScZn at its relaxed geometry.

a b c (Å): 3.442 3.442 11.747
angles (deg): 90.00 90.00 90.00
Space group I4mm (No. 107)
Unique sites:
Ho 0.000 0.000 0.000 [2 per cell]
Sc 0.000 0.000 0.291 [2 per cell]
Zn 0.000 0.000 0.661 [2 per cell]

Output
The density of states at the Fermi level comes out at 1.2911 states/eV/atom.



(b) ends up most stable, edging out the next structure by 23.1 kJ/mol of atoms.



(a)
DFT (GGA-PBE) results for crystalline Ho2ScZn at its relaxed geometry.

a b c (Å): 7.341 7.341 7.341
angles (deg): 90.00 90.00 90.00
Space group Fm-3m (No. 225)
Unique sites:
Ho 0.250 0.250 0.250 [8 per cell]
Sc 0.000 0.000 0.000 [4 per cell]
Zn 0.000 0.000 0.500 [4 per cell]

Output
The density of states at the Fermi level comes out at 1.0331 states/eV/atom.



(b)
DFT (GGA-PBE) results for crystalline Ho2ScZn at its relaxed geometry.

a b c (Å): 3.5039 3.5039 29.7948
angles (deg): 90.00 90.00 120.00
Space group R3m (No. 160, hexagonal axes)
Unique sites:
Ho 0.0000 0.0000 0.0000 [3 per cell]
Ho 0.0000 0.0000 0.1814 [3 per cell]
Sc 0.0000 0.0000 0.4241 [3 per cell]
Zn 0.0000 0.0000 0.5903 [3 per cell]

Output
The density of states at the Fermi level comes out at 1.4423 states/eV/atom.



(c)
DFT (GGA-PBE) results for crystalline Ho2ScZn at its relaxed geometry.

a b c (Å): 5.169 5.169 3.716
angles (deg): 90.00 90.00 90.00
Space group P4/mmm (No. 123)
Unique sites:
Ho 0.000 0.500 0.000 [2 per cell]
Sc 0.000 0.000 0.500 [1 per cell]
Zn 0.500 0.500 0.500 [1 per cell]

Output
The density of states at the Fermi level comes out at 1.2049 states/eV/atom.



(d)
DFT (GGA-PBE) results for crystalline Ho2ScZn at its relaxed geometry.

a b c (Å): 3.500 3.500 8.230
angles (deg): 90.00 90.00 90.00
Space group P4/mmm (No. 123)
Unique sites:
Ho 0.000 0.000 0.218 [2 per cell]
Sc 0.500 0.500 0.500 [1 per cell]
Zn 0.500 0.500 0.000 [1 per cell]

Output
The density of states at the Fermi level comes out at 1.0978 states/eV/atom.



(d) ends up most stable, edging out the next structure by 9.2 kJ/mol of atoms.



(a)
DFT (GGA-PBE) results for crystalline HoZrSc at its relaxed geometry.

a b c (Å): 5.2120 5.2120 3.2848
angles (deg): 90.00 90.00 120.00
Space group P-6m2 (No. 187)
Unique sites:
Ho 0.0000 0.0000 0.0000 [1 per cell]
Zr 0.6667 0.3333 0.5000 [1 per cell]
Sc 0.3333 0.6667 0.5000 [1 per cell]

Output
The density of states at the Fermi level comes out at 1.8967 states/eV/atom.



(b)
DFT (GGA-PBE) results for crystalline HoZrSc at its relaxed geometry.

a b c (Å): 3.3466 3.3466 24.0306
angles (deg): 90.00 90.00 120.00
Space group R3m (No. 160, hexagonal axes)
Unique sites:
Ho 0.0000 0.0000 0.0000 [3 per cell]
Zr 0.0000 0.0000 0.2207 [3 per cell]
Sc 0.0000 0.0000 0.7846 [3 per cell]

Output
The density of states at the Fermi level comes out at 1.4179 states/eV/atom.



(b) ends up most stable, edging out the next structure by 3.9 kJ/mol of atoms.



(a)
DFT (GGA-PBE) results for crystalline HoZrSc at its relaxed geometry.

a b c (Å): 3.166 5.273 9.525
angles (deg): 90.00 90.00 90.00
Space group Pmmn (No. 59, origin choice 2)
Unique sites:
Ho 0.250 0.250 0.069 [2 per cell]
Zr 0.250 0.250 0.445 [2 per cell]
Sc 0.250 0.750 0.267 [2 per cell]

Output
The density of states at the Fermi level comes out at 1.4348 states/eV/atom.



(b)
DFT (GGA-PBE) results for crystalline HoZrSc at its relaxed geometry.

a b c (Å): 3.309 3.309 14.187
angles (deg): 90.00 90.00 90.00
Space group I4mm (No. 107)
Unique sites:
Ho 0.000 0.000 0.000 [2 per cell]
Zr 0.000 0.000 0.334 [2 per cell]
Sc 0.000 0.000 0.683 [2 per cell]

Output
The density of states at the Fermi level comes out at 1.5419 states/eV/atom.



(b) ends up most stable, edging out the next structure by 14.4 kJ/mol of atoms.



(a)
DFT (GGA-PBE) results for crystalline HoZr3Sc6 at its relaxed geometry.

a b c (Å): 10.421 3.281 15.091
angles (deg): 90.00 105.28 90.00
Space group P2_1/m (No. 11)
Unique sites:
Ho 0.021 0.250 0.310 [2 per cell]
Zr 0.253 0.250 0.034 [2 per cell]
Zr 0.332 0.750 0.711 [2 per cell]
Zr 0.452 0.250 0.587 [2 per cell]
Sc 0.045 0.750 0.103 [2 per cell]
Sc 0.137 0.250 0.550 [2 per cell]
Sc 0.211 0.750 0.865 [2 per cell]
Sc 0.275 0.750 0.419 [2 per cell]
Sc 0.343 0.250 0.243 [2 per cell]
Sc 0.487 0.250 0.897 [2 per cell]

Output
The density of states at the Fermi level comes out at 1.4058 states/eV/atom.



(b)
DFT (GGA-PBE) results for crystalline HoZr3Sc6 at its relaxed geometry.

a b c (Å): 11.925 3.212 13.079
angles (deg): 90.00 100.05 90.00
Space group P2_1/m (No. 11)
Unique sites:
Ho 0.038 0.250 0.224 [2 per cell]
Zr 0.074 0.250 0.596 [2 per cell]
Zr 0.381 0.750 0.998 [2 per cell]
Zr 0.426 0.250 0.405 [2 per cell]
Sc 0.133 0.250 0.988 [2 per cell]
Sc 0.195 0.750 0.429 [2 per cell]
Sc 0.223 0.750 0.785 [2 per cell]
Sc 0.278 0.750 0.203 [2 per cell]
Sc 0.347 0.250 0.617 [2 per cell]
Sc 0.499 0.250 0.189 [2 per cell]

Output
The density of states at the Fermi level comes out at 1.6457 states/eV/atom.



(b) ends up most stable, edging out the next structure by 3.6 kJ/mol of atoms.